Compound: CuNi6Rh5
Source: Alexandria via LeMat-Bulk
Functional: PBE-GGA
Structure: relaxed

Calculated values
The total energy is -6.238 eV per atom. The energy of formation is 0.0568 eV per atom.

Structure (POSCAR):
```
CuNi6Rh5
1.0
1.860 -5.587 0.000
1.860 5.587 0.000
0.000 0.000 7.267
Cu Ni Rh
1 6 5
direct
0.000 0.000 0.000
0.165 0.835 0.249
0.165 0.835 0.751
0.500 0.500 0.248
0.500 0.500 0.752
0.835 0.165 0.249
0.835 0.165 0.751
0.000 0.000 0.500
0.333 0.667 0.500
0.334 0.666 0.000
0.666 0.334 0.000
0.667 0.333 0.500
```